(i)
The following is a GGA-PBE calculation of a geometry-optimized BaLi3Tl2 structure, from Alexandria.

Cell lengths 7.0029, 7.0029, 6.7570 Å; angles 90.00, 90.00, 81.25 degrees
With the nearest neighbours (Å) after each atom.
Sites, in units of the cell vectors:
Ba  0.1688  0.8312  0.7500  3 Li 3.39-3.53, 4 Tl 3.76
Ba  0.8312  0.1688  0.2500  3 Li 3.39-3.53, 4 Tl 3.76
Li  0.0466  0.5929  0.2500  1 Li 2.86, 4 Tl 2.88-3.04
Li  0.4071  0.9534  0.2500  1 Li 2.86, 4 Tl 2.88-3.04
Li  0.4592  0.5408  0.2500  2 Li 2.86, 4 Tl 2.90
Li  0.5408  0.4592  0.7500  2 Li 2.86, 4 Tl 2.90
Li  0.5929  0.0466  0.7500  1 Li 2.86, 4 Tl 2.88-3.04
Li  0.9534  0.4071  0.7500  1 Li 2.86, 4 Tl 2.88-3.04
Tl  0.2811  0.2811  0.0000  6 Li 2.88-3.04
Tl  0.2811  0.2811  0.5000  6 Li 2.88-3.04
Tl  0.7189  0.7189  0.0000  6 Li 2.88-3.04
Tl  0.7189  0.7189  0.5000  6 Li 2.88-3.04

Output
**Total magnetic moment**: 0.00 μB/cell

***

(ii)
The following is a GGA-PBE calculation of a geometry-optimized BaLi3Tl2 structure, from Alexandria.

Cell lengths 9.3989, 9.3989, 8.1272 Å; angles 114.36, 114.36, 30.27 degrees
With the nearest neighbours (Å) after each atom.
Sites, in units of the cell vectors:
Ba  0.1559  0.1559  0.0803  4 Li 3.55-3.73, 7 Tl 3.70-3.95
Ba  0.8441  0.8441  0.9197  4 Li 3.55-3.73, 7 Tl 3.70-3.95
Li  0.0131  0.0131  0.3538  1 Li 2.62, 3 Tl 2.79-2.84
Li  0.3093  0.3093  0.5474  3 Li 2.81-3.14, 4 Tl 2.83-2.99
Li  0.4128  0.4128  0.3703  4 Li 2.81-3.09, 3 Tl 2.88-2.89
Li  0.5872  0.5872  0.6297  4 Li 2.81-3.09, 3 Tl 2.88-2.89
Li  0.6907  0.6907  0.4526  3 Li 2.81-3.14, 4 Tl 2.83-2.99
Li  0.9869  0.9869  0.6462  1 Li 2.62, 3 Tl 2.79-2.84
Tl  0.1726  0.1726  0.6418  6 Li 2.84-2.99
Tl  0.4755  0.4755  0.7979  4 Li 2.79-2.89, 1 Tl 3.01
Tl  0.5245  0.5245  0.2021  4 Li 2.79-2.89, 1 Tl 3.01
Tl  0.8274  0.8274  0.3582  6 Li 2.84-2.99

Output
**Total magnetic moment**: 0.00 μB/cell

***

Going by the energies, (ii) is most stable and the next is 9 meV/atom up.

***

(i)
The following is a GGA-PBE calculation of a geometry-optimized Ba6LiTl2 structure, from Alexandria.

Cell lengths 8.8554, 10.8784, 9.6982 Å; angles 90.00, 111.47, 90.00 degrees
With the nearest neighbours (Å) after each atom.
Sites, in units of the cell vectors:
Ba  0.0439  0.0276  0.3074  2 Tl 3.50-3.89, 1 Li 3.79
Ba  0.0439  0.4724  0.8074  2 Tl 3.50-3.89, 1 Li 3.79
Ba  0.2813  0.7226  0.5743  2 Tl 3.67-3.73, 1 Li 3.79
Ba  0.2813  0.7774  0.0743  2 Tl 3.67-3.73, 1 Li 3.79
Ba  0.3167  0.1634  0.0528  3 Tl 3.57-3.70
Ba  0.3167  0.3366  0.5528  3 Tl 3.57-3.70
Ba  0.6833  0.6634  0.4472  3 Tl 3.57-3.70
Ba  0.6833  0.8366  0.9472  3 Tl 3.57-3.70
Ba  0.7187  0.2226  0.9257  2 Tl 3.67-3.73, 1 Li 3.79
Ba  0.7187  0.2774  0.4257  2 Tl 3.67-3.73, 1 Li 3.79
Ba  0.9561  0.5276  0.1926  2 Tl 3.50-3.89, 1 Li 3.79
Ba  0.9561  0.9724  0.6926  2 Tl 3.50-3.89, 1 Li 3.79
Li  0.5000  0.0000  0.5000  2 Tl 2.87
Li  0.5000  0.5000  0.0000  2 Tl 2.87
Tl  0.3509  0.0386  0.7146  1 Li 2.87
Tl  0.3509  0.4614  0.2146  1 Li 2.87
Tl  0.6491  0.5386  0.7854  1 Li 2.87
Tl  0.6491  0.9614  0.2854  1 Li 2.87

Output
**Total magnetic moment**: 0.00 μB/cell

***

(ii)
The following is a GGA-PBE calculation of a geometry-optimized Ba6LiTl2 structure, from Alexandria.

Cell lengths 8.6388, 8.6388, 12.5459 Å; angles 95.67, 95.67, 29.92 degrees
With the nearest neighbours (Å) after each atom.
Sites, in units of the cell vectors:
Ba  0.0862  0.0862  0.2536  1 Li 3.54, 2 Tl 3.58
Ba  0.3374  0.3374  0.4038  2 Tl 3.54, 2 Li 3.62
Ba  0.3662  0.3662  0.0570  3 Tl 3.64-3.65
Ba  0.6338  0.6338  0.9430  3 Tl 3.64-3.65
Ba  0.6626  0.6626  0.5962  2 Tl 3.54, 2 Li 3.62
Ba  0.9138  0.9138  0.7464  1 Li 3.54, 2 Tl 3.58
Li  0.0000  0.0000  0.5000  6 Ba 3.54-3.62
Tl  0.2532  0.2532  0.7925  7 Ba 3.54-3.65
Tl  0.7468  0.7468  0.2075  7 Ba 3.54-3.65

Output
**Total magnetic moment**: 0.00 μB/cell

***

Going by the energies, (i) is most stable and the next is 37 meV/atom up.

***

(i)
The following is a GGA-PBE calculation of a geometry-optimized BaLi3Tl3 structure, from Alexandria.

Cell lengths 7.5353, 7.5353, 7.5353 Å; angles 73.32, 73.32, 73.32 degrees
With the nearest neighbours (Å) after each atom.
Sites, in units of the cell vectors:
Ba  0.1755  0.1755  0.1755  6 Li 3.60-3.76, 6 Tl 3.64-3.67
Ba  0.8245  0.8245  0.8245  6 Li 3.60-3.76, 6 Tl 3.64-3.67
Li  0.2117  0.6688  0.4527  2 Li 2.75, 4 Tl 2.75-3.06
Li  0.3312  0.5473  0.7883  2 Li 2.75, 4 Tl 2.75-3.06
Li  0.4527  0.2117  0.6688  2 Li 2.75, 4 Tl 2.75-3.06
Li  0.5473  0.7883  0.3312  2 Li 2.75, 4 Tl 2.75-3.06
Li  0.6688  0.4527  0.2117  2 Li 2.75, 4 Tl 2.75-3.06
Li  0.7883  0.3312  0.5473  2 Li 2.75, 4 Tl 2.75-3.06
Tl  0.0597  0.3584  0.7108  4 Li 2.75-3.06
Tl  0.2892  0.9403  0.6416  4 Li 2.75-3.06
Tl  0.3584  0.7108  0.0597  4 Li 2.75-3.06
Tl  0.6416  0.2892  0.9403  4 Li 2.75-3.06
Tl  0.7108  0.0597  0.3584  4 Li 2.75-3.06
Tl  0.9403  0.6416  0.2892  4 Li 2.75-3.06

Output
**Total magnetic moment**: 0.00 μB/cell

***

(ii)
The following is a GGA-PBE calculation of a geometry-optimized BaLi3Tl3 structure, from Alexandria.

Cell lengths 7.4747, 7.4747, 7.4747 Å; angles 90.00, 90.00, 90.00 degrees
With the nearest neighbours (Å) after each atom.
Sites, in units of the cell vectors:
Ba  0.0000  0.0000  0.0000  12 Tl 4.18, 12 Li 4.18
Ba  0.5000  0.5000  0.5000  12 Tl 4.18, 12 Li 4.18
Li  0.0000  0.2500  0.5000  4 Tl 2.64
Li  0.0000  0.7500  0.5000  4 Tl 2.64
Li  0.2500  0.5000  0.0000  4 Tl 2.64
Li  0.5000  0.0000  0.2500  4 Tl 2.64
Li  0.5000  0.0000  0.7500  4 Tl 2.64
Li  0.7500  0.5000  0.0000  4 Tl 2.64
Tl  0.0000  0.5000  0.2500  4 Li 2.64
Tl  0.0000  0.5000  0.7500  4 Li 2.64
Tl  0.2500  0.0000  0.5000  4 Li 2.64
Tl  0.5000  0.2500  0.0000  4 Li 2.64
Tl  0.5000  0.7500  0.0000  4 Li 2.64
Tl  0.7500  0.0000  0.5000  4 Li 2.64

Output
**Total magnetic moment**: 0.00 μB/cell

***

Going by the energies, (i) is most stable and the next is 163 meV/atom up.

***

(i)
The following is a GGA-PBE calculation of a geometry-optimized BaLi2TlZn structure, from Alexandria.

Cell lengths 5.2815, 5.2815, 5.3460 Å; angles 90.00, 90.00, 90.00 degrees
With the nearest neighbours (Å) after each atom.
Sites, in units of the cell vectors:
Ba  0.0000  0.0000  0.0000  4 Zn 3.73, 8 Li 3.76
Li  0.0000  0.5000  0.5000  2 Tl 2.64
Li  0.5000  0.0000  0.5000  2 Tl 2.64
Tl  0.5000  0.5000  0.5000  4 Li 2.64, 2 Zn 2.67
Zn  0.5000  0.5000  0.0000  2 Tl 2.67

Output
**Total magnetic moment**: 0.00 μB/cell

***

(ii)
The following is a GGA-PBE calculation of a geometry-optimized BaLi2TlZn structure, from Alexandria.

Cell lengths 5.2392, 5.2392, 5.3231 Å; angles 90.00, 90.00, 90.00 degrees
With the nearest neighbours (Å) after each atom.
Sites, in units of the cell vectors:
Ba  0.0000  0.0000  0.0000  4 Tl 3.70, 8 Li 3.73
Li  0.0000  0.5000  0.5000  2 Zn 2.62
Li  0.5000  0.0000  0.5000  2 Zn 2.62
Tl  0.5000  0.5000  0.0000  2 Zn 2.66
Zn  0.5000  0.5000  0.5000  4 Li 2.62, 2 Tl 2.66

Output
**Total magnetic moment**: 0.19 μB/cell

***

Going by the energies, (ii) is most stable and the next is 11 meV/atom up.

***

(i)
The following is a GGA-PBE calculation of a geometry-optimized BaLi2V structure, from Alexandria.

Cell lengths 5.4090, 5.4090, 5.4090 Å; angles 60.00, 60.00, 60.00 degrees
With the nearest neighbours (Å) after each atom.
Sites, in units of the cell vectors:
Ba  0.0000  0.0000  0.0000  8 Li 3.31
Li  0.2500  0.2500  0.2500  4 V 3.31, 4 Ba 3.31
Li  0.7500  0.7500  0.7500  4 V 3.31, 4 Ba 3.31
V  0.5000  0.5000  0.5000  8 Li 3.31

Output
**Total magnetic moment**: 4.07 μB/cell

***

(ii)
The following is a GGA-PBE calculation of a geometry-optimized BaLi2V structure, from Alexandria.

Cell lengths 11.1347, 11.1347, 11.1347 Å; angles 154.61, 154.61, 36.22 degrees
With the nearest neighbours (Å) after each atom.
Sites, in units of the cell vectors:
Ba  0.0000  0.0000  0.0000  4 V 3.46, 4 Li 3.46
Ba  0.7500  0.2500  0.5000  4 V 3.46, 4 Li 3.46
Li  0.2564  0.6250  0.1314  2 Li 2.71, 2 V 2.97
Li  0.3750  0.5064  0.6314  2 Li 2.71, 2 V 2.97
Li  0.4936  0.1250  0.8686  2 Li 2.71, 2 V 2.97
Li  0.8750  0.7436  0.3686  2 Li 2.71, 2 V 2.97
V  0.2500  0.7500  0.5000  4 Li 2.97
V  0.5000  0.5000  0.0000  4 Li 2.97

Output
**Total magnetic moment**: 9.45 μB/cell

***

Going by the energies, (i) is most stable and the next is 102 meV/atom up.